Entry 1:
# In2SiRh

A geometry-optimized In2SiRh structure (GGA-PBE, the Alexandria database).

Cell: 5.2256 5.2256 5.2256 Å, 133.42 133.42 68.00°
Sites, in units of the cell vectors:
In (0.2500, 0.7500, 0.5000)
In (0.0000, 0.0000, 0.0000)
Si (0.7500, 0.2500, 0.5000)
Rh (0.5000, 0.5000, 0.0000)

Computed properties:
The value obtained for the energy is -17.66 eV per cell.

***

Entry 2:
# V2Ga2Co3

A geometry-optimized V2Ga2Co3 structure (GGA-PBE, the Alexandria database).

Cell: 4.0483 4.0507 6.8601 Å, 90.05 107.13 120.02°
Site moments in Bohr magnetons follow the coordinates.
Sites, in units of the cell vectors:
Ga (0.2598, 0.1302, 0.3894)  0.00
Ga (0.7402, 0.8698, 0.6106)  0.00
V (0.7657, 0.3830, 0.1480)  0.32
V (0.2343, 0.6170, 0.8520)  0.32
Co (0.4786, 0.7394, 0.2177)  -0.15
Co (0.0000, 0.0000, 0.0000)  1.20
Co (0.5214, 0.2606, 0.7823)  -0.15

Computed properties:
Its energy of formation from the pure elements is -148.8 kJ/mol of formula units. The value obtained for the energy is -47.15 eV per cell.